## w
Density functional theory data (PBE-GGA) for a relaxed structure of LuAlTlTe3.

a b c (Å): 7.984 7.984 11.309
angles (deg): 90.00 90.00 147.84
Sites, in units of the cell vectors:
Te  0.132  0.868  0.553
Te  0.425  0.575  0.750
Te  0.575  0.425  0.250
Te  0.132  0.868  0.947
Te  0.868  0.132  0.447
Te  0.868  0.132  0.053
Lu  0.500  0.500  0.500
Lu  0.500  0.500  0.000
Tl  0.737  0.263  0.750
Tl  0.263  0.737  0.250
Al  0.034  0.966  0.750
Al  0.966  0.034  0.250

The value obtained for the density is 6.830 g/cm³. The value obtained for the size of the total moment is 0.02 μB per cell.

## x
Density functional theory data (PBE-GGA) for a relaxed structure of LuAlTlTe3.

a b c (Å): 11.912 4.883 12.890
angles (deg): 90.00 90.00 90.00
Sites, in units of the cell vectors:
Tl  0.188  0.750  0.496
Tl  0.688  0.750  0.004
Tl  0.812  0.250  0.504
Tl  0.312  0.250  0.996
Te  0.283  0.750  0.190
Te  0.590  0.750  0.564
Te  0.544  0.250  0.161
Te  0.217  0.250  0.690
Te  0.717  0.250  0.810
Te  0.783  0.750  0.310
Te  0.456  0.750  0.839
Te  0.910  0.250  0.064
Te  0.410  0.250  0.436
Te  0.044  0.250  0.339
Te  0.090  0.750  0.936
Te  0.956  0.750  0.661
Al  0.743  0.750  0.720
Al  0.257  0.250  0.280
Al  0.757  0.250  0.220
Al  0.243  0.750  0.780
Lu  0.519  0.750  0.318
Lu  0.019  0.750  0.182
Lu  0.481  0.250  0.682
Lu  0.981  0.250  0.818

The value obtained for the density is 6.991 g/cm³. The value obtained for the size of the total moment is 0.03 μB per cell.

Result of the stability comparison: w is the most stable of them.

## w
Density functional theory data (PBE-GGA) for a relaxed structure of TmLuAl.

a b c (Å): 5.002 5.002 5.002
angles (deg): 60.00 60.00 60.00
Sites, in units of the cell vectors:
Lu  0.750  0.750  0.750
Al  0.250  0.250  0.250
Tm  0.000  0.000  0.000

The value obtained for the density is 6.959 g/cm³. The value obtained for the size of the total moment is 0.00 μB per cell.

## x
Density functional theory data (PBE-GGA) for a relaxed structure of TmLuAl.

a b c (Å): 6.452 5.006 9.266
angles (deg): 90.00 90.00 90.00
Sites, in units of the cell vectors:
Lu  0.972  0.750  0.788
Lu  0.028  0.250  0.212
Lu  0.528  0.250  0.288
Lu  0.472  0.750  0.712
Al  0.207  0.250  0.896
Al  0.707  0.250  0.604
Al  0.793  0.750  0.104
Al  0.293  0.750  0.396
Tm  0.686  0.250  0.929
Tm  0.314  0.750  0.071
Tm  0.186  0.250  0.571
Tm  0.814  0.750  0.429

The value obtained for the density is 8.232 g/cm³. The value obtained for the size of the total moment is 0.02 μB per cell.

Result of the stability comparison: x is the most stable of them.

## w
Density functional theory data (PBE-GGA) for a relaxed structure of MgTaAlOs.

a b c (Å): 4.463 4.463 4.463
angles (deg): 60.00 60.00 60.00
Sites, in units of the cell vectors:
Al  0.000  0.000  0.000
Os  0.250  0.250  0.250
Mg  0.750  0.750  0.750
Ta  0.500  0.500  0.500

The value obtained for the density is 11.157 g/cm³. The value obtained for the size of the total moment is 0.00 μB per cell.

## x
Density functional theory data (PBE-GGA) for a relaxed structure of MgTaAlOs.

a b c (Å): 4.472 4.472 4.472
angles (deg): 60.00 60.00 60.00
Sites, in units of the cell vectors:
Ta  0.500  0.500  0.500
Al  0.250  0.250  0.250
Os  0.000  0.000  0.000
Mg  0.750  0.750  0.750

The value obtained for the density is 11.091 g/cm³. The value obtained for the size of the total moment is 0.00 μB per cell.

## y
Density functional theory data (PBE-GGA) for a relaxed structure of MgTaAlOs.

a b c (Å): 4.482 4.482 4.482
angles (deg): 60.00 60.00 60.00
Sites, in units of the cell vectors:
Mg  0.750  0.750  0.750
Os  0.000  0.000  0.000
Al  0.500  0.500  0.500
Ta  0.250  0.250  0.250

The value obtained for the density is 11.022 g/cm³. The value obtained for the size of the total moment is 0.00 μB per cell.

Result of the stability comparison: w is the most stable of them.

## w
Density functional theory data (PBE-GGA) for a relaxed structure of MgPaAl.

a b c (Å): 4.929 4.929 4.929
angles (deg): 60.00 60.00 60.00
Sites, in units of the cell vectors:
Mg  0.750  0.750  0.750
Pa  0.000  0.000  0.000
Al  0.250  0.250  0.250

The value obtained for the density is 5.537 g/cm³. The value obtained for the size of the total moment is 0.09 μB per cell.

## x
Density functional theory data (PBE-GGA) for a relaxed structure of MgPaAl.

a b c (Å): 4.767 4.767 4.767
angles (deg): 60.00 60.00 60.00
Each line ends with the local moment (μB).
Sites, in units of the cell vectors:
Al  0.000  0.000  0.000  -0.01
Pa  0.750  0.750  0.750  0.35
Mg  0.250  0.250  0.250  0.00

The value obtained for the density is 6.122 g/cm³. The value obtained for the size of the total moment is 0.47 μB per cell.

Result of the stability comparison: x is the most stable of them.

## w
Density functional theory data (PBE-GGA) for a relaxed structure of MgAlReW.

a b c (Å): 4.446 4.446 4.446
angles (deg): 60.00 60.00 60.00
Sites, in units of the cell vectors:
Re  0.500  0.500  0.500
W  0.000  0.000  0.000
Mg  0.750  0.750  0.750
Al  0.250  0.250  0.250

The value obtained for the density is 11.259 g/cm³. The value obtained for the size of the total moment is 0.76 μB per cell.

## x
Density functional theory data (PBE-GGA) for a relaxed structure of MgAlReW.

a b c (Å): 4.431 4.431 4.431
angles (deg): 60.00 60.00 60.00
Sites, in units of the cell vectors:
Al  0.500  0.500  0.500
Mg  0.750  0.750  0.750
W  0.000  0.000  0.000
Re  0.250  0.250  0.250

The value obtained for the density is 11.373 g/cm³. The value obtained for the size of the total moment is 0.00 μB per cell.

Result of the stability comparison: x is the most stable of them.

## w
Density functional theory data (PBE-GGA) for a relaxed structure of AlMo2.

a b c (Å): 5.248 5.248 8.463
angles (deg): 90.00 90.00 120.00
Sites, in units of the cell vectors:
Mo  0.172  0.828  0.750
Mo  0.172  0.344  0.750
Mo  0.656  0.828  0.750
Mo  0.828  0.656  0.250
Mo  0.828  0.172  0.250
Mo  0.000  0.000  0.000
Mo  0.000  0.000  0.500
Mo  0.344  0.172  0.250
Al  0.667  0.333  0.563
Al  0.333  0.667  0.063
Al  0.667  0.333  0.937
Al  0.333  0.667  0.437

The value obtained for the density is 7.202 g/cm³. The value obtained for the size of the total moment is 0.00 μB per cell.

## x
Density functional theory data (PBE-GGA) for a relaxed structure of AlMo2.

a b c (Å): 5.240 5.240 16.973
angles (deg): 90.00 90.00 120.00
Sites, in units of the cell vectors:
Mo  0.500  0.000  0.500
Mo  0.160  0.320  0.250
Mo  0.160  0.840  0.250
Mo  0.500  0.500  0.500
Mo  0.333  0.667  0.373
Mo  0.680  0.840  0.250
Mo  0.333  0.667  0.127
Mo  0.500  0.000  0.000
Mo  0.667  0.333  0.627
Mo  0.000  0.500  0.500
Mo  0.840  0.680  0.750
Mo  0.500  0.500  0.000
Mo  0.667  0.333  0.873
Mo  0.320  0.160  0.750
Mo  0.840  0.160  0.750
Mo  0.000  0.500  0.000
Al  0.000  0.000  0.593
Al  0.000  0.000  0.407
Al  0.667  0.333  0.344
Al  0.333  0.667  0.844
Al  0.667  0.333  0.156
Al  0.333  0.667  0.656
Al  0.000  0.000  0.907
Al  0.000  0.000  0.093

The value obtained for the density is 7.204 g/cm³. The value obtained for the size of the total moment is 0.00 μB per cell.

Result of the stability comparison: w is the most stable of them.

## w
Density functional theory data (PBE-GGA) for a relaxed structure of PaAlMo.

a b c (Å): 4.527 4.527 4.527
angles (deg): 60.00 60.00 60.00
Sites, in units of the cell vectors:
Al  0.250  0.250  0.250
Mo  0.000  0.000  0.000
Pa  0.750  0.750  0.750

The value obtained for the density is 8.959 g/cm³. The value obtained for the size of the total moment is 0.00 μB per cell.

## x
Density functional theory data (PBE-GGA) for a relaxed structure of PaAlMo.

a b c (Å): 4.618 4.618 4.618
angles (deg): 60.00 60.00 60.00
Sites, in units of the cell vectors:
Mo  0.750  0.750  0.750
Pa  0.000  0.000  0.000
Al  0.250  0.250  0.250

The value obtained for the density is 8.438 g/cm³. The value obtained for the size of the total moment is 0.00 μB per cell.

Result of the stability comparison: w is the most stable of them.